--- one ---
VASP calculation (PBE) on crystalline InHSeNO at its relaxed geometry.

Calculated density (g/cm³): 5.14
Volume (Å³/cell): 218

Cell and atoms, written as POSCAR:
```
InHSeNO
1.0
3.3757 0.0000 0.0000
-1.6878 2.9234 0.0000
0.0000 0.0000 22.0626
In H Se N O
3 3 3 3 3
direct
0.0000 0.0000 0.0000
0.3333 0.6667 0.6667
0.6667 0.3333 0.3333
0.0000 0.0000 0.7721
0.3333 0.6667 0.4388
0.6667 0.3333 0.1054
0.0000 0.0000 0.5317
0.3333 0.6667 0.1984
0.6667 0.3333 0.8650
0.0000 0.0000 0.6135
0.3333 0.6667 0.2802
0.6667 0.3333 0.9468
0.0000 0.0000 0.7275
0.3333 0.6667 0.3941
0.6667 0.3333 0.0608
```

--- two ---
VASP calculation (PBE) on crystalline InHSeNO at its relaxed geometry.

Calculated density (g/cm³): 5.17
Volume (Å³/cell): 144

Cell and atoms, written as POSCAR:
```
InHSeNO
1.0
6.0335 0.0000 0.0000
0.0000 3.4222 0.0000
-2.0617 0.0000 6.9981
In H Se N O
2 2 2 2 2
direct
0.0000 0.0000 0.0000
0.5000 0.5000 0.0000
0.2718 0.5000 0.3154
0.7718 0.0000 0.3154
0.1929 0.0000 0.5941
0.6929 0.5000 0.5941
0.2821 0.0000 0.8569
0.7821 0.5000 0.8569
0.2254 0.5000 0.1741
0.7254 0.0000 0.1741
```

--- three ---
VASP calculation (PBE) on crystalline InHSeNO at its relaxed geometry.

Calculated density (g/cm³): 5.46
Volume (Å³/cell): 68

Cell and atoms, written as POSCAR:
```
InHSeNO
1.0
3.2442 0.0000 0.0000
0.0000 3.1294 0.0000
-0.1810 0.0000 6.7360
In H Se N O
1 1 1 1 1
direct
0.0000 0.0000 0.0000
0.0216 0.0000 0.6923
0.3681 0.0000 0.4985
0.9708 0.0000 0.3219
0.4995 0.5000 0.9702
```

--- four ---
VASP calculation (PBE) on crystalline InHSeNO at its relaxed geometry.

Calculated density (g/cm³): 4.57
Volume (Å³/cell): 82

Cell and atoms, written as POSCAR:
```
InHSeNO
1.0
3.7330 0.0000 0.0000
-0.5388 4.4527 0.0000
-1.8328 -0.2866 4.9161
In H Se N O
1 1 1 1 1
direct
0.0000 0.0000 0.0000
0.3789 0.1899 0.7103
0.7797 0.7217 0.5073
0.1614 0.9468 0.4217
0.4912 0.2397 0.9155
```

Relative energies, in eV/atom, with the most stable structure set to zero: one 0.079; two 0.000; three 0.417; four 0.178.

--- one ---
VASP calculation (PBE) on crystalline InHSeNO at its relaxed geometry.

Calculated density (g/cm³): 4.74
Volume (Å³/cell): 79

Cell and atoms, written as POSCAR:
```
InHSeNO
1.0
3.2287 0.0000 0.0000
1.4150 4.8579 0.0000
1.1352 0.9361 5.0183
In H Se N O
1 1 1 1 1
direct
0.0000 0.0000 0.0000
0.2942 0.3392 0.2123
0.8339 0.5177 0.6732
0.6452 0.7181 0.9356
0.3542 0.1341 0.2457
```

--- two ---
VASP calculation (PBE) on crystalline InHSeNO at its relaxed geometry.

Calculated density (g/cm³): 5.47
Volume (Å³/cell): 136

Cell and atoms, written as POSCAR:
```
InHSeNO
1.0
6.7820 0.0000 0.0000
0.0000 3.0482 0.0000
-2.5740 0.0000 6.5970
In H Se N O
2 2 2 2 2
direct
0.0000 0.0000 0.0000
0.5000 0.5000 0.0000
0.1599 0.5000 0.1332
0.6599 0.0000 0.1332
0.0961 0.5000 0.5214
0.5961 0.0000 0.5214
0.0114 0.0000 0.3523
0.5114 0.5000 0.3523
0.2581 0.0000 0.8649
0.7581 0.5000 0.8649
```

--- three ---
VASP calculation (PBE) on crystalline InHSeNO at its relaxed geometry.

Calculated density (g/cm³): 5.27
Volume (Å³/cell): 71

Cell and atoms, written as POSCAR:
```
InHSeNO
1.0
3.1722 0.0000 0.0000
1.5506 3.3296 0.0000
0.2896 0.2274 6.7021
In H Se N O
1 1 1 1 1
direct
0.0000 0.0000 0.0000
0.7647 0.5942 0.7260
0.4444 0.1465 0.5110
0.5781 0.8907 0.7636
0.2994 0.3821 0.1056
```

--- four ---
VASP calculation (PBE) on crystalline InHSeNO at its relaxed geometry.

Calculated density (g/cm³): 5.20
Volume (Å³/cell): 72

Cell and atoms, written as POSCAR:
```
InHSeNO
1.0
3.4535 0.0000 0.0000
-1.7267 2.9908 0.0000
0.0000 0.0000 6.9475
In H Se N O
1 1 1 1 1
direct
0.0000 0.0000 0.0000
0.6667 0.3333 0.3167
0.3333 0.6667 0.5902
0.3333 0.6667 0.8545
0.6667 0.3333 0.1742
```

Relative energies, in eV/atom, with the most stable structure set to zero: one 0.090; two 0.511; three 0.071; four 0.000.

--- one ---
VASP calculation (PBE) on crystalline InHSN2 at its relaxed geometry.

Calculated density (g/cm³): 2.89
Volume (Å³/cell): 101

Cell and atoms, written as POSCAR:
```
InHSN2
1.0
4.3314 0.0000 0.0000
0.0000 4.3314 0.0000
0.0000 0.0000 5.3787
In H S N
1 1 1 2
direct
0.0000 0.0000 0.0000
0.5000 0.5000 0.5000
0.0000 0.0000 0.5000
0.0000 0.5000 0.0000
0.5000 0.0000 0.0000
```

--- two ---
VASP calculation (PBE) on crystalline InHSN2 at its relaxed geometry.

Calculated density (g/cm³): 5.43
Volume (Å³/cell): 54

Cell and atoms, written as POSCAR:
```
InHSN2
1.0
4.1584 0.0000 0.0000
0.0000 4.1584 0.0000
0.0000 0.0000 3.1106
In H S N
1 1 1 2
direct
0.0000 0.0000 0.0000
0.5000 0.5000 0.5000
0.5000 0.5000 0.0000
0.0000 0.5000 0.5000
0.5000 0.0000 0.5000
```

Relative energies, in eV/atom, with the most stable structure set to zero: one 0.340; two 0.000.

--- one ---
VASP calculation (PBE) on crystalline InHSeN2 at its relaxed geometry.

Calculated density (g/cm³): 3.51
Volume (Å³/cell): 105

Cell and atoms, written as POSCAR:
```
InHSeN2
1.0
4.2600 0.0000 0.0000
0.0000 4.2600 0.0000
0.0000 0.0000 5.8060
In H Se N
1 1 1 2
direct
0.0000 0.0000 0.0000
0.5000 0.5000 0.5000
0.0000 0.0000 0.5000
0.0000 0.5000 0.0000
0.5000 0.0000 0.0000
```

--- two ---
VASP calculation (PBE) on crystalline InHSeN2 at its relaxed geometry.

Calculated density (g/cm³): 6.06
Volume (Å³/cell): 61

Cell and atoms, written as POSCAR:
```
InHSeN2
1.0
4.2801 0.0000 0.0000
0.0000 4.2801 0.0000
0.0000 0.0000 3.3333
In H Se N
1 1 1 2
direct
0.0000 0.0000 0.0000
0.5000 0.5000 0.5000
0.5000 0.5000 0.0000
0.0000 0.5000 0.5000
0.5000 0.0000 0.5000
```

Relative energies, in eV/atom, with the most stable structure set to zero: one 0.236; two 0.000.

--- one ---
VASP calculation (PBE) on crystalline Na2InH2 at its relaxed geometry.

Calculated density (g/cm³): 2.95
Volume (Å³/cell): 183

Cell and atoms, written as POSCAR:
```
Na2InH2
1.0
7.7606 0.0000 0.0000
0.0000 7.7606 0.0000
0.0000 0.0000 3.0433
Na In H
4 2 4
direct
0.1269 0.3731 0.0000
0.3731 0.8731 0.0000
0.6269 0.1269 0.0000
0.8731 0.6269 0.0000
0.0000 0.0000 0.0000
0.5000 0.5000 0.0000
0.1336 0.6336 0.5000
0.3664 0.1336 0.5000
0.6336 0.8664 0.5000
0.8664 0.3664 0.5000
```

--- two ---
VASP calculation (PBE) on crystalline Na2InH2 at its relaxed geometry.

Calculated density (g/cm³): 2.90
Volume (Å³/cell): 186

Cell and atoms, written as POSCAR:
```
Na2InH2
1.0
4.1307 0.0000 0.0000
0.0000 4.1307 0.0000
0.0000 0.0000 10.9144
Na In H
4 2 4
direct
0.0000 0.0000 0.1764
0.0000 0.0000 0.8236
0.5000 0.5000 0.3236
0.5000 0.5000 0.6764
0.0000 0.0000 0.5000
0.5000 0.5000 0.0000
0.0000 0.5000 0.2500
0.0000 0.5000 0.7500
0.5000 0.0000 0.2500
0.5000 0.0000 0.7500
```

--- three ---
VASP calculation (PBE) on crystalline Na2InH2 at its relaxed geometry.

Calculated density (g/cm³): 3.20
Volume (Å³/cell): 169

Cell and atoms, written as POSCAR:
```
Na2InH2
1.0
7.1808 0.0000 0.0000
0.0000 7.1808 0.0000
0.0000 0.0000 3.2720
Na In H
4 2 4
direct
0.1487 0.3513 0.0000
0.3513 0.8513 0.0000
0.6487 0.1487 0.0000
0.8513 0.6487 0.0000
0.0000 0.0000 0.5000
0.5000 0.5000 0.5000
0.1517 0.6517 0.5000
0.3483 0.1517 0.5000
0.6517 0.8483 0.5000
0.8483 0.3483 0.5000
```

Relative energies, in eV/atom, with the most stable structure set to zero: one 0.170; two 0.016; three 0.000.